Here is an optimized crystal structure of CePr3Sn2 from the Alexandria database. Energies are from PBE.

extended XYZ file:
```
12
Lattice="6.570 0.000 0.000 0.000 6.554 0.000 -3.285 -3.277 8.902" Properties=species:S:1:pos:R:3 pbc="T T T"
Ce 0.000 1.639 0.000
Ce 0.000 4.916 0.000
Pr 1.646 3.277 3.150
Pr 1.639 0.000 5.752
Pr -1.639 3.277 5.752
Pr 4.924 0.000 3.150
Pr 3.285 4.916 0.000
Pr 3.285 1.639 0.000
Sn 1.623 0.000 2.453
Sn 1.662 3.277 6.449
Sn -1.662 0.000 6.449
Sn 4.947 3.277 2.453
```

Calculated values
The density of states at the Fermi level comes out at 21.4 states/eV per cell. The calculation puts the magnetization at 1.5 Bohr magnetons per cell. The volume comes out at 383.3 Å³ per cell. The formation energy from the elements comes out at -0.5550 eV per atom. The calculation puts the density at 6.9 g/cm3. As for the energy above the lowest structure with this stoichiometry: 0 meV/atom.